Record 1
Here is an optimized crystal structure of K3Sm2PuTe6 from Alexandria via LeMat-Bulk. Energies are from PBE-GGA.

Results
As for the crystal system: monoclinic. The formation energy (no corrections) is -1.302 eV per atom.

Cell lengths 7.937, 7.937, 8.632 Å; angles 98.81, 98.81, 120.00 degrees
Fractional coordinates of all 12 atoms:
K (0.500, 0.500, 0.500)
K (0.833, 0.167, 0.500)
K (0.167, 0.833, 0.500)
Te (0.403, 0.070, 0.211)
Te (0.070, 0.403, 0.211)
Te (0.930, 0.597, 0.789)
Te (0.738, 0.738, 0.212)
Te (0.597, 0.930, 0.789)
Te (0.262, 0.262, 0.788)
Pu (0.000, 0.000, 0.000)
Sm (0.333, 0.667, 0.000)
Sm (0.667, 0.333, 0.000)

***

Record 2
Here is an optimized crystal structure of K4Sm3PuTe8 from Alexandria via LeMat-Bulk. Energies are from PBE-GGA.

Results
As for the crystal system: trigonal. The formation energy (no corrections) is -1.330 eV per atom.

Cell lengths 9.156, 9.783, 9.155 Å; angles 117.91, 120.00, 90.00 degrees
Fractional coordinates of all 16 atoms:
K (0.500, 0.000, 0.500)
K (0.000, 0.000, 0.000)
K (0.500, 0.000, 0.000)
K (0.000, 0.000, 0.500)
Te (0.263, 0.289, 0.026)
Te (0.237, 0.711, 0.974)
Te (0.262, 0.287, 0.525)
Te (0.738, 0.713, 0.475)
Te (0.737, 0.711, 0.974)
Te (0.237, 0.711, 0.474)
Te (0.763, 0.289, 0.526)
Te (0.763, 0.289, 0.026)
Sm (0.500, 0.500, 0.500)
Sm (0.500, 0.500, 0.000)
Sm (0.000, 0.500, 0.500)
Pu (0.000, 0.500, 0.000)

***

Record 3
Here is an optimized crystal structure of K3SmPu2Te6 from Alexandria via LeMat-Bulk. Energies are from PBE-GGA.

Results
As for the crystal system: monoclinic. The formation energy (no corrections) is -1.208 eV per atom.

Cell lengths 7.917, 7.917, 8.623 Å; angles 98.80, 98.80, 120.00 degrees
Fractional coordinates of all 12 atoms:
Te (0.265, 0.265, 0.790)
Te (0.595, 0.930, 0.789)
Te (0.405, 0.070, 0.211)
Te (0.070, 0.405, 0.211)
Te (0.930, 0.595, 0.789)
Te (0.735, 0.735, 0.210)
Sm (0.000, 0.000, 0.000)
Pu (0.667, 0.333, 0.000)
Pu (0.333, 0.667, 0.000)
K (0.500, 0.500, 0.500)
K (0.834, 0.166, 0.500)
K (0.166, 0.834, 0.500)

***

Record 4
Here is an optimized crystal structure of KPuSn4 from Alexandria via LeMat-Bulk. Energies are from PBE-GGA.

Results
The formation energy is -0.66 eV/f.u. As for the crystal system: cubic.

Cell lengths 6.280, 6.280, 6.280 Å; angles 60.00, 60.00, 60.00 degrees
Fractional coordinates of all 6 atoms:
Pu (0.000, 0.000, 0.000)
Sn (0.626, 0.626, 0.123)
Sn (0.626, 0.626, 0.626)
Sn (0.123, 0.626, 0.626)
Sn (0.626, 0.123, 0.626)
K (0.250, 0.250, 0.250)

***

Number 1: Fermi-level density of states 14.2 states/eV per cell, energy -5.1278 eV per atom, V 37.4 A^3/atom. Number 2: Fermi-level density of states 14.0 states/eV per cell, energy -4.9563 eV per atom, V 37.3 A^3/atom. Number 3: Fermi-level density of states 26.7 states/eV per cell, energy -5.8348 eV per atom, V 37.1 A^3/atom. Number 4: Fermi-level density of states 18.6 states/eV per cell, energy -5.3499 eV per atom, V 29.2 A^3/atom.